Record 1
# GGA-PBE PmTmSbAs, optimized geometry
# **Uncorrected formation energy**: -1299 meV per atom
# **Symmetry**: R3m (160)
# **Magnetization**: 0.00 μB/cell
data_PmTmSbAs
_cell_length_a 4.268
_cell_length_b 4.268
_cell_length_c 7.460
_cell_angle_alpha 73.38
_cell_angle_beta 73.38
_cell_angle_gamma 60.00
_symmetry_space_group_name_H-M 'P 1'
_symmetry_Int_Tables_number 1
loop_
_symmetry_equiv_pos_as_xyz
'x,y,z'
loop_
_atom_site_label
_atom_site_type_symbol
_atom_site_fract_x
_atom_site_fract_y
_atom_site_fract_z
_atom_site_occupancy
Pm1 Pm 0.256 0.256 0.233 1
Tm1 Tm 0.744 0.744 0.767 1
Sb1 Sb 0.496 0.496 0.511 1
As1 As 0.003 0.003 0.990 1

Record 2
# GGA-PBE PmSc5As6, optimized geometry
# **Symmetry**: C2/m (12)
# **Magnetization**: 0.00 μB/cell
# **ΔE_f**: -1.38 eV per atom
data_PmSc5As6
_cell_length_a 6.837
_cell_length_b 6.836
_cell_length_c 6.836
_cell_angle_alpha 60.00
_cell_angle_beta 80.35
_cell_angle_gamma 70.41
_symmetry_space_group_name_H-M 'P 1'
_symmetry_Int_Tables_number 1
loop_
_symmetry_equiv_pos_as_xyz
'x,y,z'
loop_
_atom_site_label
_atom_site_type_symbol
_atom_site_fract_x
_atom_site_fract_y
_atom_site_fract_z
_atom_site_occupancy
As1 As 0.741 0.432 0.654 1
As2 As 0.259 0.914 0.654 1
As3 As 0.259 0.568 0.346 1
As4 As 0.741 0.086 0.346 1
As5 As 0.744 0.739 0.000 1
As6 As 0.256 0.261 0.000 1
Sc1 Sc 0.000 0.332 0.335 1
Sc2 Sc 0.500 0.163 0.674 1
Sc3 Sc 0.000 0.668 0.665 1
Sc4 Sc 0.500 0.837 0.326 1
Sc5 Sc 0.500 0.500 0.000 1
Pm1 Pm 0.000 0.000 0.000 1

> Number 2 is which compound?

PmSc5As6

What did the first record say?
# GGA-PBE PmTmSbAs, optimized geometry
# **Uncorrected formation energy**: -1299 meV per atom
# **Symmetry**: R3m (160)
# **Magnetization**: 0.00 μB/cell
data_PmTmSbAs
_cell_length_a 4.268
_cell_length_b 4.268
_cell_length_c 7.460
_cell_angle_alpha 73.38
_cell_angle_beta 73.38
_cell_angle_gamma 60.00
_symmetry_space_group_name_H-M 'P 1'
_symmetry_Int_Tables_number 1
loop_
_symmetry_equiv_pos_as_xyz
'x,y,z'
loop_
_atom_site_label
_atom_site_type_symbol
_atom_site_fract_x
_atom_site_fract_y
_atom_site_fract_z
_atom_site_occupancy
Pm1 Pm 0.256 0.256 0.233 1
Tm1 Tm 0.744 0.744 0.767 1
Sb1 Sb 0.496 0.496 0.511 1
As1 As 0.003 0.003 0.990 1

> Number 1 is which compound?

PmTmSbAs